# HgPI | Alexandria | PBE | relaxed
data_HgPI
_chemical_formula_sum 'Hg2 P2 I2'
_space_group_name_H-M_alt 'P 1 21/m 1'
_space_group_IT_number 11
_cell_length_a 6.3263
_cell_length_b 3.7006
_cell_length_c 8.5382
_cell_angle_alpha 90.00
_cell_angle_beta 106.65
_cell_angle_gamma 90.00
loop_
_space_group_symop_operation_xyz
'x,y,z'
'-x,-y,-z'
'-x,y+1/2,-z'
'x,-y+1/2,z'
loop_
_atom_site_label
_atom_site_type_symbol
_atom_site_fract_x
_atom_site_fract_y
_atom_site_fract_z
Hg1 Hg 0.1708 0.2500 0.3264
P1 P 0.1212 0.2500 0.0290
I1 I 0.3027 0.2500 0.6613
# N(E_F) = 0.04 states/eV/f.u.
# raw formation energy = -0.02 eV per formula unit
# E_tot = -0.179 Ry/atom
# M_tot = 0.00 μB per cell
# crystal system = monoclinic
# mass density = 6.2 g/cm3